No. 1
This record from Alexandria describes a relaxed KHf3I crystal. The functional is PBEsol.

As for the symmetry: Pm-3m, No. 221.

abc: 4.994 4.994 4.994
angles: 90.00 90.00 90.00
Fractional positions:
K 0.000 0.000 0.000
Hf 0.000 0.000 0.500
Hf 0.000 0.500 0.000
Hf 0.500 0.000 0.000
I 0.500 0.500 0.500

---

No. 2
This record from Alexandria describes a relaxed KHfI2 crystal. The functional is PBEsol.

As for the symmetry: Fm-3m, No. 225.

abc: 5.322 5.322 5.322
angles: 60.00 60.00 60.00
Fractional positions:
K 0.000 0.000 0.000
Hf 0.500 0.500 0.500
I 0.250 0.250 0.250
I 0.750 0.750 0.750

---

No. 3
This record from Alexandria describes a relaxed KHfIN2 crystal. The functional is PBEsol.

As for the symmetry: P4/mmm, No. 123.

abc: 4.325 4.325 5.526
angles: 90.00 90.00 90.00
Fractional positions:
K 0.000 0.000 0.000
Hf 0.500 0.500 0.500
I 0.000 0.000 0.500
N 0.000 0.500 0.000
N 0.500 0.000 0.000

---

No. 4
This record from Alexandria describes a relaxed KNaHfI2 crystal. The functional is PBEsol.

As for the symmetry: P4/mmm, No. 123.

abc: 5.604 5.604 6.109
angles: 90.00 90.00 90.00
Fractional positions:
K 0.000 0.000 0.000
Na 0.500 0.500 0.000
Hf 0.500 0.500 0.500
I 0.000 0.500 0.500
I 0.500 0.000 0.500

---

What M_tot values result from the calculations? In sequence: 0.0; 1.1; 0.8; 0.0 μB per formula unit.
What energy values result from the calculations? In sequence: -4.70; -3.84; -3.83; -3.39 eV/atom.
What raw formation energy values result from the calculations? In sequence: 2.18; -0.05; 2.26; -0.08 eV/atom.